# CuPH2, optimized geometry, DFT GGA-PBE
data_CuPH2
_chemical_formula_sum 'Cu1 P1 H2'
_space_group_name_H-M_alt 'P 1'
_space_group_IT_number 1
_cell_length_a 4.274
_cell_length_b 4.453
_cell_length_c 4.466
_cell_angle_alpha 61.76
_cell_angle_beta 61.50
_cell_angle_gamma 61.71
loop_
_space_group_symop_operation_xyz
'x,y,z'
loop_
_atom_site_label
_atom_site_type_symbol
_atom_site_fract_x
_atom_site_fract_y
_atom_site_fract_z
_atom_site_occupancy
Cu1 Cu 0.000 0.000 0.000 1
P1 P 0.594 0.905 0.905 1
H1 H 0.749 0.515 0.978 1
H2 H 0.753 0.975 0.517 1
# Energy relative to the lowest polymorph listed for this composition, kJ/mol of formula units: 0.0


# LaPrEr3Tm, optimized geometry, DFT GGA-PBE
data_LaPrEr3Tm
_chemical_formula_sum 'La4 Pr4 Er12 Tm4'
_space_group_name_H-M_alt 'C m c m'
_space_group_IT_number 63
_space_group_name_Hall '-C 2c 2'
_cell_length_a 5.839
_cell_length_b 11.552
_cell_length_c 11.682
_cell_angle_alpha 90.00
_cell_angle_beta 90.00
_cell_angle_gamma 90.00
loop_
_atom_site_label
_atom_site_type_symbol
_atom_site_fract_x
_atom_site_fract_y
_atom_site_fract_z
_atom_site_occupancy
La1 La 0.000 0.001 0.250 1
Pr1 Pr 0.000 0.500 0.000 1
Er1 Er 0.000 0.176 0.501 1
Er2 Er 0.000 0.325 0.250 1
Tm1 Tm 0.000 0.327 0.750 1
# Formation energy, eV/atom: 0.10


# ZnSbI2N, optimized geometry, DFT GGA-PBE
data_ZnSbI2N
_chemical_formula_sum 'Zn1 Sb1 I2 N1'
_space_group_name_H-M_alt 'P 4/m m m'
_space_group_IT_number 123
_space_group_name_Hall '-P 4 2'
_cell_length_a 5.672
_cell_length_b 5.672
_cell_length_c 5.276
_cell_angle_alpha 90.00
_cell_angle_beta 90.00
_cell_angle_gamma 90.00
loop_
_atom_site_label
_atom_site_type_symbol
_atom_site_fract_x
_atom_site_fract_y
_atom_site_fract_z
_atom_site_occupancy
Zn1 Zn 0.000 0.000 0.000 1
Sb1 Sb 0.000 0.000 0.500 1
I1 I 0.000 0.500 0.000 1
N1 N 0.500 0.500 0.500 1
# Energy relative to the lowest polymorph listed for this composition, kJ/mol of formula units: 347.2
# Formation energy without anion corrections, eV/atom: 1.38